# ScTlF6 (PBE, optimized geometry)
# Magnetization = 0.00 μB per formula unit
# DOS at the Fermi energy = 0.00 states/eV/cell
# ΔE_f (raw) = -2.867 eV per atom
# Energy above the lowest structure with this stoichiometry = 10.7 meV/atom
data_ScTlF6
_cell_length_a 5.3900
_cell_length_b 5.3900
_cell_length_c 10.0317
_cell_angle_alpha 90.00
_cell_angle_beta 90.00
_cell_angle_gamma 120.00
_symmetry_space_group_name_H-M 'P -3 1 c'
_symmetry_Int_Tables_number 163
_symmetry_space_group_name_Hall '-P 3 2c'
loop_
_atom_site_label
_atom_site_fract_x
_atom_site_fract_y
_atom_site_fract_z
Sc1 0.0000 0.0000 0.0000
Tl1 0.3333 0.6667 0.2500
F1 0.0311 0.3215 0.1187